## Th2InCo (PBE)

Data for crystalline Th2InCo at its relaxed geometry.

Structure (POSCAR):
```
Th2InCo
1.0
-3.129 -0.984 -0.773
-0.737 -0.234 3.280
-2.597 8.253 0.004
Co Th In
1 2 1
direct
0.500 0.500 0.000
0.000 0.000 0.798
0.000 0.000 0.202
0.500 0.500 0.500
```

Calculated values
V   24.56 Å³/atom
Energy above the most stable polymorph in this dataset   0 meV/atom
Total DFT energy (no corrections)   -6.385 eV per atom
Total moment   0.00 μB per formula unit
Formation enthalpy at 0 K   -214 meV per atom

***

## Th2InCo (PBE)

Data for crystalline Th2InCo at its relaxed geometry.

Structure (POSCAR):
```
Th2InCo
1.0
-2.414 1.799 2.351
-3.655 -1.096 0.190
0.260 -6.128 8.061
Co Th In
1 2 1
direct
0.500 0.500 0.500
0.114 0.114 0.658
0.886 0.886 0.342
0.000 0.000 0.000
```

Calculated values
V   31.24 Å³/atom
Energy above the most stable polymorph in this dataset   245 meV/atom
Total DFT energy (no corrections)   -6.139 eV per atom
Total moment   0.00 μB per formula unit
Formation enthalpy at 0 K   32 meV per atom